Computed, not measured: NiCIO2 after structural relaxation at the GGA+U level of DFT.

Properties
Uncorrected energy ... -3.432 eV/atom
Energy relative to the lowest polymorph listed for this composition ... 76 meV per atom
DOS at the Fermi energy ... 1.94 states/eV per cell

Cell: 3.4527 3.4527 6.6987 Å, 90.00 90.00 90.00°
With the nearest neighbours (Å) after each atom.
Space group P4/mmm (No. 123)
Asymmetric unit:
Ni 0.0000 0.0000 0.0000 x1  4 I 2.44
C 0.5000 0.5000 0.5000 x1  4 O 1.73
I 0.5000 0.5000 0.0000 x1  4 Ni 2.44
O 0.0000 0.5000 0.5000 x2  2 C 1.73